VASP calculation (GGA+U) on crystalline YTlCr2O8 at its relaxed geometry.

Lattice parameters (Å, degrees): 6.2004 6.2004 6.2004 105.68 105.68 117.36
With the nearest neighbours (Å) after each atom.
Fractional positions:
O 0.3485 0.5321 0.1836  1 Cr 1.69
O 0.8351 0.6515 0.1836  1 Cr 1.69
O 0.3485 0.1649 0.8164  1 Cr 1.69
O 0.4679 0.6515 0.8164  1 Cr 1.69
O 0.4109 0.0792 0.3317  1 Cr 1.67
O 0.9208 0.2526 0.3317  1 Cr 1.67
O 0.7474 0.0792 0.6683  1 Cr 1.67
O 0.9208 0.5891 0.6683  1 Cr 1.67
Cr 0.5000 0.5000 0.0000  4 O 1.69
Cr 0.7500 0.2500 0.5000  4 O 1.67
Tl 0.0000 0.0000 0.0000  8 O 2.54-2.63
Y 0.2500 0.7500 0.5000  8 O 2.45-2.47

- Energy: -83.1 eV for the cell shown
- Theoretical density: 4.8 g/cm3
- Space-group type: I-4m2